(1)
A plane-wave DFT calculation with PBE was carried out for a relaxed Rb2ZrMnV crystal.

Computed properties:
* size of the total moment: 2.7 μB/f.u.
* total DFT energy (no corrections): -19.844 eV for the cell shown
* calculated formation energy: 1785.5 meV/atom
* V: 43.5 Å³/atom

Lattice parameters (Å, degrees): 6.852 4.629 6.852 90.00 90.00 90.00
Site moments in Bohr magnetons follow the coordinates.
Fractional positions:
Rb 0.000 0.000 0.500  0.04
Rb 0.500 0.000 0.000  0.03
Zr 0.000 0.000 0.000  0.86
V 0.500 0.500 0.500  3.22
Mn 0.000 0.500 0.000  -2.88

=====

(2)
A plane-wave DFT calculation with PBE was carried out for a relaxed GeHPb3 crystal.

Computed properties:
* size of the total moment: 0.0 μB/f.u.
* total DFT energy (no corrections): -17.533 eV for the cell shown
* V: 24.0 Å³/atom

Lattice parameters (Å, degrees): 4.934 4.934 4.934 90.00 90.00 90.00
Fractional positions:
H 0.000 0.000 0.000
Pb 0.000 0.000 0.500
Ge 0.500 0.500 0.500
Pb 0.500 0.000 0.000
Pb 0.000 0.500 0.000

=====

(3)
A plane-wave DFT calculation with PBE was carried out for a relaxed TaPRh2 crystal.

Computed properties:
* size of the total moment: 0.0 μB/f.u.
* total DFT energy (no corrections): -33.232 eV for the cell shown
* calculated formation energy: -316.7 meV/atom
* V: 15.0 Å³/atom

Lattice parameters (Å, degrees): 2.923 3.796 5.399 90.00 90.00 90.00
Fractional positions:
P 0.500 0.500 0.808
Ta 0.000 0.000 0.482
Rh 0.000 0.000 0.956
Rh 0.500 0.500 0.254

=====

(4)
A plane-wave DFT calculation with PBE was carried out for a relaxed TbScMnAl crystal.

Computed properties:
* size of the total moment: 3.1 μB/f.u.
* total DFT energy (no corrections): -24.265 eV for the cell shown
* calculated formation energy: -97.9 meV/atom
* V: 21.2 Å³/atom

Lattice parameters (Å, degrees): 4.931 4.931 4.931 60.00 60.00 60.00
Site moments in Bohr magnetons follow the coordinates.
Fractional positions:
Sc 0.000 0.000 0.000  -0.28
Tb 0.500 0.500 0.500  -0.11
Mn 0.750 0.750 0.750  3.50
Al 0.250 0.250 0.250  0.00

=====

(5)
A plane-wave DFT calculation with PBE was carried out for a relaxed UAl2Ir crystal.

Computed properties:
* size of the total moment: 2.5 μB/f.u.
* total DFT energy (no corrections): -28.733 eV for the cell shown
* calculated formation energy: -274.6 meV/atom
* V: 19.3 Å³/atom

Lattice parameters (Å, degrees): 4.209 4.209 5.592 67.89 67.89 60.00
Site moments in Bohr magnetons follow the coordinates.
Fractional positions:
Al 0.711 0.711 0.866  0.00
Ir 0.000 0.000 0.000  -0.05
U 0.500 0.500 0.500  2.22
Al 0.289 0.289 0.134  0.00

=====

(6)
A plane-wave DFT calculation with PBE was carried out for a relaxed Cu3Sb crystal.

Computed properties:
* size of the total moment: 0.0 μB/f.u.
* total DFT energy (no corrections): -15.432 eV for the cell shown
* uncorrected formation energy: 0.245 eV per atom
* V: 15.6 Å³/atom

Lattice parameters (Å, degrees): 5.055 5.055 5.055 116.35 116.35 116.35
Fractional positions:
Sb 0.500 0.500 0.000
Cu 0.000 0.500 0.500
Cu 0.000 0.000 0.000
Cu 0.500 0.000 0.500

=====

(7)
A plane-wave DFT calculation with PBE was carried out for a relaxed Tb3CeHo4Se8 crystal.

Computed properties:
* size of the total moment: 0.7 μB/f.u.
* total DFT energy (no corrections): -94.089 eV for the cell shown
* uncorrected formation energy: -1.755 eV per atom
* V: 24.2 Å³/atom

Lattice parameters (Å, degrees): 8.167 8.184 8.167 119.92 120.00 90.00
Site moments in Bohr magnetons follow the coordinates.
Fractional positions:
Ho 0.000 0.000 0.000  0.01
Ho 0.000 0.000 0.500  0.01
Se 0.751 0.754 0.502  0.00
Se 0.251 0.244 0.997  0.00
Ho 0.500 0.000 0.500  0.01
Se 0.749 0.756 0.003  0.00
Se 0.249 0.246 0.498  0.00
Tb 0.500 0.500 0.000  0.01
Se 0.746 0.243 0.492  0.00
Tb 0.000 0.500 0.500  0.01
Se 0.254 0.756 0.003  0.00
Ce 0.000 0.500 0.000  0.56
Ho 0.500 0.000 0.000  -0.01
Tb 0.500 0.500 0.500  0.01
Se 0.254 0.757 0.508  0.00
Se 0.746 0.244 0.997  0.00

=====

(8)
A plane-wave DFT calculation with PBE was carried out for a relaxed Ba8Ce7YHO24 crystal.

Computed properties:
* size of the total moment: 0.0 μB/f.u.
* total DFT energy (no corrections): -311.904 eV for the cell shown
* V: 17.2 Å³/atom

Lattice parameters (Å, degrees): 6.325 6.335 17.554 90.00 90.09 90.67
Fractional positions:
Ce 0.505 0.001 0.999
Ce 0.506 0.005 0.248
O 0.756 0.244 0.449
O 0.738 0.736 0.730
Y 0.993 0.495 0.248
O 0.232 0.772 0.023
Ce 0.494 0.996 0.499
Ba 0.036 0.985 0.363
Ba 0.988 0.990 0.626
O 0.239 0.764 0.723
Ba 0.483 0.512 0.125
O 0.276 0.271 0.980
O 0.461 0.927 0.377
Ba 0.994 0.989 0.126
O 0.974 0.420 0.621
O 0.242 0.760 0.527
O 0.729 0.728 0.016
O 0.752 0.247 0.288
Ba 0.520 0.493 0.875
Ce 0.003 0.499 0.748
O 0.774 0.229 0.973
O 0.476 0.922 0.872
O 0.746 0.751 0.235
O 0.994 0.421 0.122
H 0.754 0.247 0.392
Ba 0.467 0.511 0.364
O 0.257 0.251 0.261
Ba 0.496 0.509 0.625
O 0.001 0.577 0.873
Ce 0.001 0.498 0.000
Ba 0.023 0.007 0.875
O 0.039 0.572 0.377
O 0.272 0.267 0.763
Ce 0.505 0.001 0.749
O 0.543 0.083 0.621
O 0.742 0.744 0.516
O 0.538 0.083 0.123
Ce 0.005 0.507 0.497
O 0.249 0.757 0.230
O 0.262 0.261 0.486
O 0.771 0.233 0.773